Here is crystalline AcBeMo2O8 at its relaxed geometry from Alexandria via LeMat-Bulk. Energies are from GGA+U.

The space group is P-3 (No. 147) and the conventional cell measures 5.0161, 5.0161 and 6.3363 Å, with angles of 90.00, 90.00 and 120.00 degrees. The distinct sites, in fractional coordinates, are Ac at (0.0000, 0.0000, 0.0000), Be at (0.0000, 0.0000, 0.5000), Mo at (0.3333, 0.6667, 0.6111), O at (0.0523, 0.7189, 0.3532) and O at (0.3333, 0.6667, 0.9055).

As for the total energy: -7.09 eV/atom. The crystal system is trigonal. The calculation puts the calculated volume at 138.1 Å³ per cell.